Entry 1:
The following is a PBE calculation of a geometry-optimized Ba2AcRh2O7 structure, from Alexandria.

The structure in CIF format:
```
data_Ba2AcRh2O7
_chemical_formula_sum 'Ba2 Ac1 Rh2 O7'
_cell_length_a 11.197
_cell_length_b 11.197
_cell_length_c 11.197
_cell_angle_alpha 159.24
_cell_angle_beta 159.24
_cell_angle_gamma 29.52
_symmetry_space_group_name_H-M 'P 1'
_symmetry_Int_Tables_number 1
_symmetry_space_group_name_Hall 'P 1'
loop_
_atom_site_label
_atom_site_type_symbol
_atom_site_fract_x
_atom_site_fract_y
_atom_site_fract_z
_atom_site_occupancy
Ba1 Ba 0.183 0.183 0.000 1
Ba2 Ba 0.817 0.817 0.000 1
Ac1 Ac 0.000 0.000 0.000 1
Rh1 Rh 0.402 0.402 0.000 1
Rh2 Rh 0.598 0.598 0.000 1
O1 O 0.086 0.586 0.500 1
O2 O 0.307 0.307 0.000 1
O3 O 0.414 0.914 0.500 1
O4 O 0.500 0.500 0.000 1
O5 O 0.586 0.086 0.500 1
O6 O 0.693 0.693 0.000 1
O7 O 0.914 0.414 0.500 1
```

The space-group type is I4/mmm. For the formation energy (no corrections), the calculation gives -1.95 eV/atom. For the total energy, the calculation gives -80.81 eV/cell. The calculation puts the spin magnetization at 0.00 μB/atom.

***

Entry 2:
The following is a PBE calculation of a geometry-optimized TiCrFeMo structure, from Alexandria.

The structure in CIF format:
```
data_TiCrFeMo
_chemical_formula_sum 'Ti1 Cr1 Fe1 Mo1'
_cell_length_a 4.224
_cell_length_b 4.224
_cell_length_c 4.224
_cell_angle_alpha 60.00
_cell_angle_beta 60.00
_cell_angle_gamma 60.00
_symmetry_space_group_name_H-M 'P 1'
_symmetry_Int_Tables_number 1
_symmetry_space_group_name_Hall 'P 1'
loop_
_atom_site_label
_atom_site_type_symbol
_atom_site_fract_x
_atom_site_fract_y
_atom_site_fract_z
_atom_site_occupancy
Ti1 Ti 0.000 0.000 0.000 1
Cr1 Cr 0.750 0.750 0.750 1
Fe1 Fe 0.250 0.250 0.250 1
Mo1 Mo 0.500 0.500 0.500 1
```

The space-group type is F-43m. For the total energy, the calculation gives -37.17 eV/cell. The formation energy comes out at -2.1 kcal/mol of atoms. The calculation puts the spin magnetization at 0.00 μB/atom.

***

Entry 3:
The following is a PBE calculation of a geometry-optimized Ac2PmPrHo structure, from Alexandria.

The structure in CIF format:
```
data_Ac2PmPrHo
_chemical_formula_sum 'Ac4 Pm2 Pr2 Ho2'
_cell_length_a 6.508
_cell_length_b 8.872
_cell_length_c 6.848
_cell_angle_alpha 90.00
_cell_angle_beta 90.00
_cell_angle_gamma 90.00
_symmetry_space_group_name_H-M 'P 1'
_symmetry_Int_Tables_number 1
_symmetry_space_group_name_Hall 'P 1'
loop_
_atom_site_label
_atom_site_type_symbol
_atom_site_fract_x
_atom_site_fract_y
_atom_site_fract_z
_atom_site_occupancy
Ac1 Ac 0.250 0.206 0.211 1
Ac2 Ac 0.250 0.794 0.211 1
Ac3 Ac 0.750 0.206 0.789 1
Ac4 Ac 0.750 0.794 0.789 1
Pm1 Pm 0.250 0.000 0.683 1
Pm2 Pm 0.750 0.000 0.317 1
Pr1 Pr 0.250 0.500 0.914 1
Pr2 Pr 0.750 0.500 0.086 1
Ho1 Ho 0.000 0.500 0.500 1
Ho2 Ho 0.500 0.500 0.500 1
```

The space-group type is Pmma. For the total energy, the calculation gives -42.17 eV/cell. The formation energy comes out at 5.7 kcal/mol of atoms. The calculation puts the spin magnetization at 0.00 μB/atom.

***

Entry 4:
The following is a PBE calculation of a geometry-optimized RbTlSbPb structure, from Alexandria.

The structure in CIF format:
```
data_RbTlSbPb
_chemical_formula_sum 'Rb1 Tl1 Sb1 Pb1'
_cell_length_a 7.336
_cell_length_b 7.336
_cell_length_c 7.336
_cell_angle_alpha 43.12
_cell_angle_beta 43.12
_cell_angle_gamma 43.12
_symmetry_space_group_name_H-M 'P 1'
_symmetry_Int_Tables_number 1
_symmetry_space_group_name_Hall 'P 1'
loop_
_atom_site_label
_atom_site_type_symbol
_atom_site_fract_x
_atom_site_fract_y
_atom_site_fract_z
_atom_site_occupancy
Rb1 Rb 0.000 0.000 0.000 1
Tl1 Tl 0.460 0.460 0.460 1
Sb1 Sb 0.204 0.204 0.204 1
Pb1 Pb 0.810 0.810 0.810 1
```

The space-group type is R3m. For the formation energy (no corrections), the calculation gives -0.07 eV/atom. For the total energy, the calculation gives -11.44 eV/cell. The calculation puts the spin magnetization at 0.00 μB/atom. The distance to the lowest polymorph of the same formula comes out at 0 meV/atom.

***

Entry 5:
The following is a PBE calculation of a geometry-optimized ZnCl3F structure, from Alexandria.

The structure in CIF format:
```
data_ZnCl3F
_chemical_formula_sum 'Zn1 Cl3 F1'
_cell_length_a 4.599
_cell_length_b 4.599
_cell_length_c 4.599
_cell_angle_alpha 90.00
_cell_angle_beta 90.00
_cell_angle_gamma 90.00
_symmetry_space_group_name_H-M 'P 1'
_symmetry_Int_Tables_number 1
_symmetry_space_group_name_Hall 'P 1'
loop_
_atom_site_label
_atom_site_type_symbol
_atom_site_fract_x
_atom_site_fract_y
_atom_site_fract_z
_atom_site_occupancy
Zn1 Zn 0.000 0.000 0.000 1
Cl1 Cl 0.000 0.500 0.500 1
Cl2 Cl 0.500 0.000 0.500 1
Cl3 Cl 0.500 0.500 0.000 1
F1 F 0.500 0.500 0.500 1
```

The space-group type is Pm-3m. For the formation energy (no corrections), the calculation gives 0.31 eV/atom. For the total energy, the calculation gives -7.15 eV/cell. The calculation puts the spin magnetization at 0.00 μB/atom. The distance to the lowest polymorph of the same formula comes out at 485 meV/atom.

***

Entry 6:
The following is a PBE calculation of a geometry-optimized LaTeAs2 structure, from Alexandria.

The structure in CIF format:
```
data_LaTeAs2
_chemical_formula_sum 'La1 Te1 As2'
_cell_length_a 6.004
_cell_length_b 6.004
_cell_length_c 5.154
_cell_angle_alpha 90.75
_cell_angle_beta 90.75
_cell_angle_gamma 38.56
_symmetry_space_group_name_H-M 'P 1'
_symmetry_Int_Tables_number 1
_symmetry_space_group_name_Hall 'P 1'
loop_
_atom_site_label
_atom_site_type_symbol
_atom_site_fract_x
_atom_site_fract_y
_atom_site_fract_z
_atom_site_occupancy
La1 La 0.000 0.000 0.000 1
Te1 Te 0.500 0.500 0.500 1
As1 As 0.268 0.268 0.158 1
As2 As 0.732 0.732 0.842 1
```

The space-group type is C2/m. For the formation energy (no corrections), the calculation gives -0.71 eV/atom. For the total energy, the calculation gives -20.22 eV/cell. The calculation puts the spin magnetization at 0.00 μB/atom.